VASP calculation (PBE) on a relaxed TiAgTe crystal.

Values from the calculation:
* formation energy (no corrections): -23 meV per atom
* SG: P-6m2 (187)
* total DFT energy (no corrections): -4.652 eV per atom

Geometry as CIF:
```
data_TiAgTe
_chemical_formula_sum 'Ti2 Ag2 Te2'
_cell_length_a 3.673
_cell_length_b 3.673
_cell_length_c 11.674
_cell_angle_alpha 90.00
_cell_angle_beta 90.00
_cell_angle_gamma 120.00
_space_group_name_H-M_alt 'P 1'
_space_group_IT_number 1
_space_group_name_Hall 'P 1'
loop_
_atom_site_label
_atom_site_type_symbol
_atom_site_fract_x
_atom_site_fract_y
_atom_site_fract_z
Ti1 Ti 0.611 0.222 0.000
Ti2 Ti 0.278 0.555 0.500
Te1 Te 0.611 0.222 0.347
Te2 Te 0.611 0.222 0.653
Ag1 Ag 0.278 0.556 0.843
Ag2 Ag 0.278 0.556 0.157
```


VASP calculation (PBE) on a relaxed Er2LuS crystal.

Values from the calculation:
* formation energy (no corrections): -687 meV per atom
* SG: R-3m (166)
* total DFT energy (no corrections): -5.130 eV per atom

Geometry as CIF:
```
data_Er2LuS
_chemical_formula_sum 'Er2 Lu1 S1'
_cell_length_a 3.600
_cell_length_b 3.600
_cell_length_c 10.087
_cell_angle_alpha 79.72
_cell_angle_beta 79.72
_cell_angle_gamma 60.00
_space_group_name_H-M_alt 'P 1'
_space_group_IT_number 1
_space_group_name_Hall 'P 1'
loop_
_atom_site_label
_atom_site_type_symbol
_atom_site_fract_x
_atom_site_fract_y
_atom_site_fract_z
S1 S 0.500 0.500 0.500
Lu1 Lu 0.000 0.000 0.000
Er1 Er 0.111 0.111 0.667
Er2 Er 0.889 0.889 0.333
```


VASP calculation (PBE) on a relaxed Ga2TcIr crystal.

Values from the calculation:
* offset from the most stable computed form: 0.535 eV/atom
* energy of formation: 0.2985 eV/atom
* SG: I-42d (122)
* total DFT energy (no corrections): -6.022 eV per atom

Geometry as CIF:
```
data_Ga2TcIr
_chemical_formula_sum 'Ga4 Tc2 Ir2'
_cell_length_a 6.879
_cell_length_b 6.879
_cell_length_c 5.597
_cell_angle_alpha 52.08
_cell_angle_beta 52.08
_cell_angle_gamma 90.00
_space_group_name_H-M_alt 'P 1'
_space_group_IT_number 1
_space_group_name_Hall 'P 1'
loop_
_atom_site_label
_atom_site_type_symbol
_atom_site_fract_x
_atom_site_fract_y
_atom_site_fract_z
Ir1 Ir 0.000 0.000 0.000
Ir2 Ir 0.750 0.250 0.500
Tc1 Tc 0.500 0.500 0.000
Tc2 Tc 0.250 0.750 0.500
Ga1 Ga 0.636 0.125 0.250
Ga2 Ga 0.114 0.625 0.250
Ga3 Ga 0.375 0.364 0.750
Ga4 Ga 0.875 0.886 0.750
```


VASP calculation (PBE) on a relaxed AlSiAu crystal.

Values from the calculation:
* formation energy (no corrections): -71 meV per atom
* SG: P1 (1)
* total DFT energy (no corrections): -4.218 eV per atom

Geometry as CIF:
```
data_AlSiAu
_chemical_formula_sum 'Al2 Si2 Au2'
_cell_length_a 3.863
_cell_length_b 3.867
_cell_length_c 10.102
_cell_angle_alpha 90.14
_cell_angle_beta 110.91
_cell_angle_gamma 119.21
_space_group_name_H-M_alt 'P 1'
_space_group_IT_number 1
_space_group_name_Hall 'P 1'
loop_
_atom_site_label
_atom_site_type_symbol
_atom_site_fract_x
_atom_site_fract_y
_atom_site_fract_z
Si1 Si 0.555 0.937 0.254
Si2 Si 0.096 0.211 0.163
Au1 Au 0.668 0.496 0.444
Au2 Au 0.999 0.661 0.758
Al1 Al 0.831 0.080 0.891
Al2 Al 0.153 0.234 0.599
```


VASP calculation (PBE) on a relaxed Cd3In2Ag6 crystal.

Values from the calculation:
* energy of formation: -0.0016 eV/atom
* SG: P-1 (2)
* total DFT energy (no corrections): -2.304 eV per atom

Geometry as CIF:
```
data_Cd3In2Ag6
_chemical_formula_sum 'Cd3 In2 Ag6'
_cell_length_a 4.737
_cell_length_b 8.350
_cell_length_c 13.908
_cell_angle_alpha 26.24
_cell_angle_beta 80.27
_cell_angle_gamma 89.90
_space_group_name_H-M_alt 'P 1'
_space_group_IT_number 1
_space_group_name_Hall 'P 1'
loop_
_atom_site_label
_atom_site_type_symbol
_atom_site_fract_x
_atom_site_fract_y
_atom_site_fract_z
Cd1 Cd 0.000 0.000 0.000
Cd2 Cd 0.821 0.772 0.360
Cd3 Cd 0.179 0.228 0.640
In1 In 0.325 0.014 0.353
In2 In 0.675 0.986 0.647
Ag1 Ag 0.076 0.553 0.848
Ag2 Ag 0.558 0.964 0.883
Ag3 Ag 0.924 0.447 0.152
Ag4 Ag 0.442 0.036 0.117
Ag5 Ag 0.677 0.624 0.653
Ag6 Ag 0.323 0.376 0.347
```


VASP calculation (PBE) on a relaxed RbSmMnTe3 crystal.

Values from the calculation:
* formation energy (no corrections): -978 meV per atom
* SG: P2_1/m (11)
* total DFT energy (no corrections): -5.025 eV per atom

Geometry as CIF:
```
data_RbSmMnTe3
_chemical_formula_sum 'Rb2 Sm2 Mn2 Te6'
_cell_length_a 4.549
_cell_length_b 10.041
_cell_length_c 10.705
_cell_angle_alpha 109.01
_cell_angle_beta 90.00
_cell_angle_gamma 90.00
_space_group_name_H-M_alt 'P 1'
_space_group_IT_number 1
_space_group_name_Hall 'P 1'
loop_
_atom_site_label
_atom_site_type_symbol
_atom_site_fract_x
_atom_site_fract_y
_atom_site_fract_z
Rb1 Rb 0.250 0.209 0.239
Rb2 Rb 0.750 0.791 0.761
Sm1 Sm 0.250 0.670 0.139
Sm2 Sm 0.750 0.330 0.861
Mn1 Mn 0.250 0.085 0.607
Mn2 Mn 0.750 0.915 0.393
Te1 Te 0.750 0.890 0.137
Te2 Te 0.250 0.110 0.863
Te3 Te 0.250 0.796 0.463
Te4 Te 0.750 0.204 0.537
Te5 Te 0.750 0.466 0.166
Te6 Te 0.250 0.534 0.834
```


What is the total DFT energy (no corrections) in the fourth record? -4.218 eV per atom


Which of these has the lowest total DFT energy (no corrections)? Ga2TcIr


Number 4 is which compound? AlSiAu